Entry 1:
Here is a geometry-optimized La2BeNiN structure from the Alexandria database. Energies are from PBE-GGA.

Output
Its symmetry is P4/mmm, No. 123. The uncorrected formation energy comes out at -541 meV/atom.

abc: 5.2243 5.2243 3.3435
angles: 90.00 90.00 90.00
Element x y z (fractional)
La 0.0000 0.5000 0.0000
La 0.5000 0.0000 0.0000
Be 0.0000 0.0000 0.5000
Ni 0.5000 0.5000 0.5000
N 0.0000 0.0000 0.0000

=====

Entry 2:
Here is a geometry-optimized Bi2PAu structure from the Alexandria database. Energies are from PBE-GGA.

Output
Its symmetry is R3m, No. 160. As for the formation energy from the elements: 0.46 eV/f.u.

abc: 7.8449 7.8449 7.8449
angles: 29.33 29.33 29.33
Element x y z (fractional)
Bi 0.0000 0.0000 0.0000
Bi 0.1744 0.1744 0.1744
P 0.5859 0.5859 0.5859
Au 0.7547 0.7547 0.7547

=====

Entry 3:
Here is a geometry-optimized BaSBr3 structure from the Alexandria database. Energies are from PBE-GGA.

Output
Its symmetry is Pm-3m, No. 221. The uncorrected formation energy comes out at -830 meV/atom. As for the excess energy over the best structure of this formula in the dataset: 0.0 meV/atom.

abc: 5.4272 5.4272 5.4272
angles: 90.00 90.00 90.00
Element x y z (fractional)
Ba 0.0000 0.0000 0.0000
S 0.5000 0.5000 0.5000
Br 0.0000 0.5000 0.5000
Br 0.5000 0.0000 0.5000
Br 0.5000 0.5000 0.0000

=====

Entry 4:
Here is a geometry-optimized Ca2PrThS4 structure from the Alexandria database. Energies are from PBE-GGA.

Output
Its symmetry is P2/m, No. 10. The uncorrected formation energy comes out at -1973 meV/atom.

abc: 6.9274 3.9879 7.1688
angles: 90.00 108.64 90.00
Element x y z (fractional)
Ca 0.0000 0.0000 0.0000
Ca 0.5000 0.5000 0.0000
Pr 0.0000 0.5000 0.5000
Th 0.5000 0.0000 0.5000
S 0.2505 0.5000 0.2409
S 0.2572 0.0000 0.7588
S 0.7428 0.0000 0.2412
S 0.7495 0.5000 0.7591

=====

Entry 5:
Here is a geometry-optimized Ba2SrSe structure from the Alexandria database. Energies are from PBE-GGA.

Output
Its symmetry is I4/mmm, No. 139. The uncorrected formation energy comes out at -459 meV/atom. As for the excess energy over the best structure of this formula in the dataset: 467.5 meV/atom.

abc: 7.3557 7.3557 7.3557
angles: 138.90 138.90 59.53
Element x y z (fractional)
Ba 0.2500 0.7500 0.5000
Ba 0.7500 0.2500 0.5000
Sr 0.0000 0.0000 0.0000
Se 0.5000 0.5000 0.0000

=====

Entry 6:
Here is a geometry-optimized InAsI2 structure from the Alexandria database. Energies are from PBE-GGA.

Output
Its symmetry is Fm-3m, No. 225. The uncorrected formation energy comes out at 336 meV/atom. As for the excess energy over the best structure of this formula in the dataset: 157.4 meV/atom.

abc: 5.5978 5.5978 5.5978
angles: 60.00 60.00 60.00
Element x y z (fractional)
In 0.0000 0.0000 0.0000
As 0.5000 0.5000 0.5000
I 0.2500 0.2500 0.2500
I 0.7500 0.7500 0.7500